# SiSbOs2

SiSbOs2 after structural relaxation (PBE-GGA, Alexandria via LeMat-Bulk).

a = 5.2621 Å, b = 5.2621 Å, c = 5.2621 Å
α = 147.06°, β = 124.09°, γ = 66.44°
Atoms (fractional coordinates):
Si 0.0000 0.0000 0.0000
Sb 0.5000 0.5000 0.0000
Os 0.2151 0.7151 0.5000
Os 0.7849 0.2849 0.5000

Output
Uncorrected energy in eV/atom: -7.513
N(E_F) in states/eV/cell: 2.3
M_tot in μB/f.u.: 0.000
E_form (uncorrected) in eV/atom: 0.4887

# La2NbF

La2NbF after structural relaxation (PBE-GGA, Alexandria via LeMat-Bulk).

a = 5.1569 Å, b = 5.1569 Å, c = 5.1569 Å
α = 60.00°, β = 60.00°, γ = 60.00°
Atoms (fractional coordinates):
La 0.2500 0.2500 0.2500
La 0.7500 0.7500 0.7500
Nb 0.0000 0.0000 0.0000
F 0.5000 0.5000 0.5000

Output
Uncorrected energy in eV/atom: -5.732
N(E_F) in states/eV/cell: 1.8
M_tot in μB/f.u.: 2.092
E_form (uncorrected) in eV/atom: -0.2834

# Dy2O2F

Dy2O2F after structural relaxation (PBE-GGA, Alexandria via LeMat-Bulk).

a = 6.1601 Å, b = 6.1601 Å, c = 7.3156 Å
α = 115.78°, β = 115.78°, γ = 42.66°
Atoms (fractional coordinates):
Dy 0.0479 0.0479 0.2800
Dy 0.3242 0.3242 0.9105
Dy 0.6758 0.6758 0.0895
Dy 0.9521 0.9521 0.7200
O 0.1472 0.1472 0.0461
O 0.4804 0.4804 0.7933
O 0.5196 0.5196 0.2067
O 0.8528 0.8528 0.9539
F 0.1186 0.1186 0.6306
F 0.8814 0.8814 0.3694

Output
Uncorrected energy in eV/atom: -7.505
N(E_F) in states/eV/cell: 2.6
M_tot in μB/f.u.: 0.000
E_form (uncorrected) in eV/atom: -3.3070

# Ho5Er12Tl2

Ho5Er12Tl2 after structural relaxation (PBE-GGA, Alexandria via LeMat-Bulk).

a = 8.9497 Å, b = 8.9497 Å, c = 8.1905 Å
α = 91.13°, β = 91.13°, γ = 62.18°
Atoms (fractional coordinates):
Ho 0.0000 0.0000 0.0000
Ho 0.2361 0.2361 0.0824
Ho 0.3120 0.3120 0.4979
Ho 0.6880 0.6880 0.5021
Ho 0.7639 0.7639 0.9176
Er 0.0330 0.6628 0.2615
Er 0.0885 0.0885 0.3874
Er 0.1783 0.5720 0.8444
Er 0.3372 0.9670 0.7385
Er 0.4280 0.8217 0.1556
Er 0.4478 0.4478 0.1789
Er 0.5522 0.5522 0.8211
Er 0.5720 0.1783 0.8444
Er 0.6628 0.0330 0.2615
Er 0.8217 0.4280 0.1556
Er 0.9115 0.9115 0.6126
Er 0.9670 0.3372 0.7385
Tl 0.3102 0.6898 0.5000
Tl 0.6898 0.3102 0.5000

Output
Uncorrected energy in eV/atom: -4.310
N(E_F) in states/eV/cell: 27.6
Energy of formation from the pure elements in eV/atom: 0.0252
M_tot in μB/f.u.: 0.000